Entry 1:
La3PrTh3Se8 PBE optimized geometry; SG = R-3m, No. 166; formation energy from raw total energies = -1.81 eV/atom
1.0
-4.799 -5.837 -3.763
6.952 2.863 -3.837
0.722 -5.011 6.853
La Pr Th Se
3 1 3 8
Direct
0.000 0.000 0.000
0.500 0.500 0.000
0.000 0.500 0.000
0.000 0.000 0.500
0.500 0.500 0.500
0.500 0.000 0.500
0.000 0.500 0.500
0.255 0.511 0.750
0.740 0.995 0.750
0.745 0.489 0.250
0.255 0.995 0.750
0.251 0.503 0.254
0.749 0.497 0.746
0.745 0.005 0.250
0.260 0.005 0.250

Entry 2:
Mn11Ni4Pt9 PBE optimized geometry; SG = Cmmm, No. 65; formation energy = -0.23 eV per atom
1.0
-1.955 2.048 0.389
-0.532 1.637 -11.305
-7.440 -7.819 3.779
Mn Pt Ni
11 9 4
Direct
0.000 0.000 0.000
0.000 0.590 0.943
0.000 0.837 0.163
0.000 0.288 0.288
0.000 0.629 0.371
0.000 0.163 0.837
0.000 0.410 0.057
0.000 0.712 0.712
0.000 0.943 0.590
0.000 0.057 0.410
0.000 0.371 0.629
0.500 0.945 0.789
0.500 0.155 0.626
0.500 0.211 0.055
0.500 0.789 0.945
0.500 0.055 0.211
0.500 0.500 0.500
0.500 0.374 0.845
0.500 0.845 0.374
0.500 0.626 0.155
0.500 0.443 0.246
0.500 0.557 0.754
0.500 0.246 0.443
0.500 0.754 0.557

Entry 3:
DyTmSc PBE optimized geometry; SG = P3m1, No. 156; formation energy = 0.08 eV per atom
1.0
-0.241 0.972 3.200
-5.409 -0.209 -0.343
2.791 -4.387 1.542
Tm Dy Sc
1 1 1
Direct
0.168 0.000 0.000
0.667 0.667 0.333
0.166 0.333 0.667

Entry 4:
Sm3Sc4Sb4 PBE optimized geometry; SG = Immm, No. 71; formation energy from raw total energies = -0.84 eV/atom
1.0
-1.221 0.429 -4.012
-8.533 0.564 2.657
5.579 7.243 1.291
Sc Sm Sb
4 3 4
Direct
0.677 0.477 0.354
0.677 0.877 0.354
0.323 0.123 0.646
0.323 0.523 0.646
0.887 0.887 0.775
0.000 0.500 0.000
0.113 0.113 0.225
0.768 0.268 0.536
0.500 0.787 0.000
0.500 0.213 0.000
0.232 0.732 0.464

Entry 5:
BPSe2N PBE optimized geometry; SG = P4/mmm, No. 123; formation energy from raw total energies = 1.26 eV/atom
1.0
5.021 0.000 0.000
0.000 5.021 0.000
0.000 0.000 3.188
N B Se P
1 1 2 1
Direct
0.000 0.000 0.500
0.500 0.500 0.500
0.000 0.500 0.000
0.500 0.000 0.000
0.000 0.000 0.000

Entry 6:
ScMn PBE optimized geometry; SG = P6_3/mmc, No. 194; formation energy = 0.05 eV per atom
1.0
7.360 0.000 0.000
-3.680 6.374 0.000
0.000 0.000 4.411
Sc Mn
6 6
Direct
0.177 0.823 0.250
0.646 0.823 0.250
0.823 0.177 0.750
0.823 0.646 0.750
0.177 0.354 0.250
0.354 0.177 0.750
0.566 0.434 0.250
0.434 0.566 0.750
0.434 0.868 0.750
0.132 0.566 0.750
0.868 0.434 0.250
0.566 0.132 0.250

Entry 7:
TaBePb2 PBE optimized geometry; SG = Cmm2, No. 35; formation energy = 0.38 eV per atom
1.0
-1.701 2.419 0.931
-1.244 -0.145 -2.835
-6.641 -5.908 3.217
Be Pb Ta
1 2 1
Direct
0.500 0.500 0.712
0.500 0.500 0.307
0.000 0.000 0.919
0.000 0.000 0.562

Entry 8:
CeBOsC PBE optimized geometry; SG = P4/nmm, No. 129; formation energy = -0.31 eV per atom
1.0
3.730 0.000 0.000
0.000 3.730 0.000
0.000 0.000 7.958
Os B Ce C
2 2 2 2
Direct
0.000 0.000 0.500
0.500 0.500 0.500
0.000 0.500 0.337
0.500 0.000 0.663
0.000 0.500 0.836
0.500 0.000 0.164
0.000 0.500 0.140
0.500 0.000 0.860

Entry 9:
Sr2LiMgHg PBE optimized geometry; SG = P4/mmm, No. 123; formation energy = -0.02 eV per atom
1.0
6.268 0.000 0.000
0.000 5.303 0.000
0.000 0.000 6.268
Mg Li Hg Sr
1 1 1 2
Direct
0.000 0.500 0.000
0.500 0.500 0.500
0.000 0.000 0.000
0.500 0.000 0.000
0.000 0.000 0.500

Entry 10:
Cd2In3Ag8 PBE optimized geometry; SG = Cmmm, No. 65; formation energy = 0.07 eV per atom
1.0
-9.405 -2.995 -2.516
7.594 -5.322 4.214
-1.152 0.909 3.224
In Ag Cd
3 8 2
Direct
0.306 0.306 0.000
0.000 0.000 0.500
0.694 0.694 0.000
0.627 0.373 0.000
0.884 0.616 0.500
0.373 0.627 0.000
0.126 0.874 0.000
0.874 0.126 0.000
0.616 0.884 0.500
0.384 0.116 0.500
0.116 0.384 0.500
0.750 0.250 0.500
0.250 0.750 0.500

Entry 11:
ThCoNi PBE optimized geometry; SG = Imma, No. 74; formation energy = -0.33 eV per atom
1.0
-2.196 3.375 0.315
-3.612 0.464 -4.258
-4.952 -1.030 2.409
Th Co Ni
2 2 2
Direct
0.500 0.500 0.000
0.000 0.000 0.500
0.750 0.575 0.425
0.250 0.425 0.575
0.250 0.088 0.912
0.750 0.912 0.088

Entry 12:
SrAgAu2 PBE optimized geometry; SG = I-42d, No. 122; formation energy = -0.25 eV per atom
1.0
-3.434 2.974 -1.971
-2.273 -3.932 -1.972
-8.078 -1.359 5.805
Ag Au Sr
2 4 2
Direct
0.750 0.250 0.500
0.000 0.000 0.000
0.375 0.244 0.750
0.994 0.625 0.250
0.875 0.006 0.750
0.756 0.125 0.250
0.250 0.750 0.500
0.500 0.500 0.000

no.,DFT total energy (eV per atom),M_tot (μB per formula unit)
1,-6.46,0.00
2,-7.66,46.96
3,-5.06,0.00
4,-5.92,0.00
5,-4.21,0.00
6,-7.70,0.00
7,-5.37,0.00
8,-8.58,0.00
9,-1.46,0.00
10,-2.45,0.00
11,-7.09,0.51
12,-3.03,0.00